A relaxed Ba2AlAs crystal, computed with PBE.

abc: 4.6873 4.6873 9.2752
angles: 75.43 75.43 59.95
Each line ends with the local moment (μB).
Positions (direct):
Al 0.7500 0.7500 0.7500  0.07
Ba 0.9841 0.9841 0.0471  0.04
As 0.2500 0.2500 0.2500  -0.01
Ba 0.5159 0.5159 0.4529  0.04

Computed properties:
The energy of formation is -33.8 kJ/mol of atoms. The value obtained for the size of the total moment is 0.744 μB per formula unit. The total energy comes out at -13.6 eV/cell.